Entry 1:
Material: ZrScIBr2
Method: DFT, PBE
State: relaxed

Cell lengths 5.0709, 6.3654, 5.0709 Å; angles 90.00, 90.00, 90.00 degrees
With the nearest neighbours (Å) after each atom.
Positions (direct):
I (0.5000, 0.5000, 0.5000)  4 Zr 3.59
Zr (0.0000, 0.5000, 0.0000)  2 Sc 3.18
Sc (0.0000, 0.0000, 0.0000)  4 Br 2.54
Br (0.0000, 0.0000, 0.5000)  2 Sc 2.54
Br (0.5000, 0.0000, 0.0000)  2 Sc 2.54

## Properties
M_tot	2.23	Bohr magnetons per cell
uncorrected formation energy	-0.321	eV per atom
SG	P4/mmm, No. 123

***

Entry 2:
Material: Se2IBr
Method: DFT, PBE
State: relaxed

Cell lengths 6.7837, 6.7969, 7.9888 Å; angles 91.70, 91.74, 101.65 degrees
With the nearest neighbours (Å) after each atom.
Positions (direct):
Se (0.0150, 0.4796, 0.7087)  1 Se 2.35
Se (0.7302, 0.7657, 0.2089)  1 Se 2.35
Se (0.5198, 0.9844, 0.2911)  1 Se 2.35
Se (0.2350, 0.2704, 0.7913)  1 Se 2.35
I (0.9784, 0.0223, 0.0000)  2 Se 2.79-2.80
I (0.2716, 0.7277, 0.5000)  2 Se 2.79-2.80
Br (0.4765, 0.5241, 0.0001)  2 Se 2.64
Br (0.7734, 0.2259, 0.5000)  2 Se 2.64

## Properties
M_tot	0.00	Bohr magnetons per cell
uncorrected formation energy	-0.020	eV per atom
SG	P-1, No. 2

***

What did the second record say?
Material: Se2IBr
Method: DFT, PBE
State: relaxed

Cell lengths 6.7837, 6.7969, 7.9888 Å; angles 91.70, 91.74, 101.65 degrees
With the nearest neighbours (Å) after each atom.
Positions (direct):
Se (0.0150, 0.4796, 0.7087)  1 Se 2.35
Se (0.7302, 0.7657, 0.2089)  1 Se 2.35
Se (0.5198, 0.9844, 0.2911)  1 Se 2.35
Se (0.2350, 0.2704, 0.7913)  1 Se 2.35
I (0.9784, 0.0223, 0.0000)  2 Se 2.79-2.80
I (0.2716, 0.7277, 0.5000)  2 Se 2.79-2.80
Br (0.4765, 0.5241, 0.0001)  2 Se 2.64
Br (0.7734, 0.2259, 0.5000)  2 Se 2.64

## Properties
M_tot	0.00	Bohr magnetons per cell
uncorrected formation energy	-0.020	eV per atom
SG	P-1, No. 2

***

- What is the uncorrected formation energy in the first record?
  -0.321 eV per atom